## La4AsAu (GGA-PBEsol)

Data for a relaxed structure of La4AsAu.

Summary:
Space-group type   F-43m
Energy relative to the elements   0.10 eV/atom

Unit cell a=6.1608 b=6.1608 c=6.1608 alpha=60.00 beta=60.00 gamma=60.00
Element x y z (fractional)
As  0.7500  0.7500  0.7500
Au  0.0000  0.0000  0.0000
La  0.3767  0.3767  0.3767
La  0.3767  0.3767  0.8698
La  0.8698  0.3767  0.3767
La  0.3767  0.8698  0.3767

***

## BaMg6W (GGA-PBEsol)

Data for a relaxed structure of BaMg6W.

Summary:
Space-group type   P4/mmm
Energy relative to the elements   0.37 eV/atom

Unit cell a=4.2515 b=6.6679 c=6.6679 alpha=90.00 beta=90.00 gamma=90.00
Element x y z (fractional)
Ba  0.5000  0.0000  0.0000
Mg  0.5000  0.0000  0.5000
Mg  0.5000  0.5000  0.0000
Mg  0.0000  0.7115  0.2885
Mg  0.0000  0.2885  0.7115
Mg  0.0000  0.7115  0.7115
Mg  0.0000  0.2885  0.2885
W  0.5000  0.5000  0.5000

***

## LaCdTc2 (GGA-PBEsol)

Data for a relaxed structure of LaCdTc2.

Summary:
Space-group type   R-3m
Energy relative to the elements   0.76 eV/atom

Unit cell a=2.8670 b=2.8670 c=10.3684 alpha=82.05 beta=82.05 gamma=60.00
Element x y z (fractional)
Cd  0.5000  0.5000  0.5000
La  0.0000  0.0000  0.0000
Tc  0.2435  0.2435  0.2695
Tc  0.7565  0.7565  0.7305

***

## KAsO3 (GGA-PBEsol)

Data for a relaxed structure of KAsO3.

Summary:
Formation energy (no corrections)   1209 meV per atom
Space-group type   Pm-3m

Unit cell a=4.1759 b=4.1759 c=4.1759 alpha=90.00 beta=90.00 gamma=90.00
Last column: magnetic moment on the atom in μB.
Element x y z (fractional)
As  0.5000  0.5000  0.5000  -0.03
K  0.0000  0.0000  0.0000  0.06
O  0.0000  0.5000  0.0000  0.12
O  0.0000  0.0000  0.5000  0.12
O  0.5000  0.0000  0.0000  0.12

***

## BaZr2Br (GGA-PBEsol)

Data for a relaxed structure of BaZr2Br.

Summary:
E above lowest polymorph   179.8 meV per atom
Formation energy (no corrections)   -37 meV per atom
Space-group type   Cm

Unit cell a=3.3238 b=5.5191 c=6.7211 alpha=101.69 beta=90.00 gamma=107.52
Element x y z (fractional)
Br  0.7123  0.4246  0.2019
Ba  0.4795  0.9591  0.4637
Zr  0.0231  0.0461  0.9500
Zr  0.2851  0.5702  0.8844

***

## InCo3Ru (GGA-PBEsol)

Data for a relaxed structure of InCo3Ru.

Summary:
Space-group type   Pm-3m
Energy relative to the elements   2.11 eV/atom

Unit cell a=4.4785 b=4.4785 c=4.4785 alpha=90.00 beta=90.00 gamma=90.00
Last column: magnetic moment on the atom in μB.
Element x y z (fractional)
Ru  0.5000  0.5000  0.5000  2.24
Co  0.0000  0.5000  0.0000  1.62
Co  0.0000  0.0000  0.5000  1.62
Co  0.5000  0.0000  0.0000  1.62
In  0.0000  0.0000  0.0000  -0.11

***

## Mn2AgSe (GGA-PBEsol)

Data for a relaxed structure of Mn2AgSe.

Summary:
Formation energy (no corrections)   318 meV per atom
Space-group type   R-3m

Unit cell a=3.2506 b=3.2506 c=7.5171 alpha=77.51 beta=77.51 gamma=60.00
Last column: magnetic moment on the atom in μB.
Element x y z (fractional)
Ag  0.0000  0.0000  0.0000  0.01
Mn  0.2439  0.2439  0.2684  3.60
Mn  0.7561  0.7561  0.7316  3.60
Se  0.5000  0.5000  0.5000  -0.04

***

## TeRh2N (GGA-PBEsol)

Data for a relaxed structure of TeRh2N.

Summary:
Formation energy (no corrections)   730 meV per atom
Space-group type   Fm-3m

Unit cell a=4.2640 b=4.2640 c=4.2640 alpha=60.00 beta=60.00 gamma=60.00
Element x y z (fractional)
Te  0.5000  0.5000  0.5000
Rh  0.2500  0.2500  0.2500
Rh  0.7500  0.7500  0.7500
N  0.0000  0.0000  0.0000

***

## Na6ZnH4S4O18 (GGA-PBEsol)

Data for a relaxed structure of Na6ZnH4S4O18.

Summary:
Electronic total energy   -5.740 eV per atom
Space-group type   P-1

Unit cell a=6.0728 b=6.7722 c=10.0731 alpha=109.67 beta=93.45 gamma=104.41
Element x y z (fractional)
Na  0.4361  0.8118  0.1037
Na  0.5639  0.1882  0.8963
Na  0.9489  0.5387  0.3278
Na  0.0511  0.4613  0.6722
Na  0.3877  0.1982  0.4596
Na  0.6123  0.8018  0.5404
Zn  0.0000  0.0000  0.0000
H  0.9892  0.7606  0.1372
H  0.0108  0.2394  0.8628
H  0.9124  0.6111  0.9637
H  0.0876  0.3889  0.0363
S  0.8726  0.0566  0.3240
S  0.1274  0.9434  0.6760
S  0.4395  0.4038  0.2002
S  0.5605  0.5962  0.7998
O  0.8183  0.0697  0.1800
O  0.1817  0.9303  0.8200
O  0.0139  0.2737  0.4242
O  0.9861  0.7263  0.5758
O  0.0074  0.8956  0.3106
O  0.9926  0.1044  0.6894
O  0.6504  0.9850  0.3719
O  0.3496  0.0150  0.6281
O  0.6281  0.4747  0.1256
O  0.3719  0.5253  0.8744
O  0.5321  0.4525  0.3505
O  0.4679  0.5475  0.6495
O  0.3293  0.1609  0.1275
O  0.6707  0.8391  0.8725
O  0.2601  0.5186  0.1931
O  0.7399  0.4814  0.8069
O  0.0326  0.7357  0.0390
O  0.9674  0.2643  0.9610

***

## ScPd3I (GGA-PBEsol)

Data for a relaxed structure of ScPd3I.

Summary:
Formation energy (no corrections)   417 meV per atom
Space-group type   Pm-3m

Unit cell a=4.7878 b=4.7878 c=4.7878 alpha=90.00 beta=90.00 gamma=90.00
Element x y z (fractional)
I  0.5000  0.5000  0.5000
Sc  0.0000  0.0000  0.0000
Pd  0.0000  0.5000  0.0000
Pd  0.0000  0.0000  0.5000
Pd  0.5000  0.0000  0.0000

***

## Li4PtPb (GGA-PBEsol)

Data for a relaxed structure of Li4PtPb.

Summary:
Space-group type   F-43m
Energy relative to the elements   -0.22 eV/atom

Unit cell a=4.9710 b=4.9710 c=4.9710 alpha=60.00 beta=60.00 gamma=60.00
Element x y z (fractional)
Li  0.3728  0.3728  0.3728
Li  0.3728  0.3728  0.8817
Li  0.8817  0.3728  0.3728
Li  0.3728  0.8817  0.3728
Pb  0.7500  0.7500  0.7500
Pt  0.0000  0.0000  0.0000

***

## ZrTaRu2 (GGA-PBEsol)

Data for a relaxed structure of ZrTaRu2.

Summary:
Space-group type   P4/mmm
Energy relative to the elements   -0.45 eV/atom

Unit cell a=3.1209 b=3.1209 c=6.6356 alpha=90.00 beta=90.00 gamma=90.00
Element x y z (fractional)
Ru  0.0000  0.0000  0.7659
Ru  0.0000  0.0000  0.2341
Zr  0.5000  0.5000  0.5000
Ta  0.5000  0.5000  0.0000

***

## AlTlO3 (GGA-PBEsol)

Data for a relaxed structure of AlTlO3.

Summary:
Formation energy (no corrections)   -1847 meV per atom
Space-group type   Pnma

Unit cell a=5.1909 b=5.3098 c=7.5198 alpha=90.00 beta=90.00 gamma=90.00
Element x y z (fractional)
Al  0.0000  0.5000  0.0000
Al  0.0000  0.5000  0.5000
Al  0.5000  0.0000  0.0000
Al  0.5000  0.0000  0.5000
Tl  0.0135  0.9588  0.7500
Tl  0.4865  0.4588  0.7500
Tl  0.5135  0.5412  0.2500
Tl  0.9865  0.0412  0.2500
O  0.0976  0.4650  0.2500
O  0.2060  0.2089  0.5518
O  0.2060  0.2089  0.9482
O  0.2940  0.7089  0.9482
O  0.2940  0.7089  0.5518
O  0.4024  0.9650  0.2500
O  0.5976  0.0350  0.7500
O  0.7060  0.2911  0.0518
O  0.7060  0.2911  0.4482
O  0.7940  0.7911  0.0518
O  0.7940  0.7911  0.4482
O  0.9024  0.5350  0.7500

***

## Ti2P4H9C2NO16 (GGA-PBEsol)

Data for a relaxed structure of Ti2P4H9C2NO16.

Summary:
Electronic total energy   -7.053 eV per atom
Space-group type   P2_1/c

Unit cell a=6.3446 b=10.7235 c=20.9290 alpha=105.20 beta=90.00 gamma=90.00
Element x y z (fractional)
Ti  0.5273  0.3953  0.7022
Ti  0.9727  0.8953  0.2022
Ti  0.4727  0.6047  0.2978
Ti  0.0273  0.1047  0.7978
Ti  0.0356  0.6062  0.8953
Ti  0.4644  0.1062  0.3953
Ti  0.9644  0.3938  0.1047
Ti  0.5356  0.8938  0.6047
P  0.6911  0.6657  0.6723
P  0.8089  0.1657  0.1723
P  0.3089  0.3343  0.3277
P  0.1911  0.8343  0.8277
P  0.0307  0.3859  0.7463
P  0.4693  0.8859  0.2463
P  0.9693  0.6141  0.2537
P  0.5307  0.1141  0.7537
P  0.5420  0.5286  0.8687
P  0.9580  0.0286  0.3687
P  0.4580  0.4714  0.1313
P  0.0420  0.9714  0.6313
P  0.0768  0.3184  0.9448
P  0.4232  0.8184  0.4448
P  0.9232  0.6816  0.0552
P  0.5768  0.1816  0.5552
H  0.8233  0.8213  0.7553
H  0.6767  0.3213  0.2553
H  0.1767  0.1787  0.2447
H  0.3233  0.6787  0.7447
H  0.7533  0.4011  0.9036
H  0.7467  0.9011  0.4036
H  0.2467  0.5989  0.0964
H  0.2533  0.0989  0.5964
H  0.4246  0.3568  0.9283
H  0.0754  0.8568  0.4283
H  0.5754  0.6432  0.0717
H  0.9246  0.1432  0.5717
H  0.9699  0.6420  0.5767
H  0.5301  0.1420  0.0767
H  0.0301  0.3580  0.4233
H  0.4699  0.8580  0.9233
H  0.0930  0.7241  0.5258
H  0.4070  0.2241  0.0258
H  0.9070  0.2759  0.4742
H  0.5930  0.7759  0.9742
H  0.3254  0.5773  0.5607
H  0.1746  0.0773  0.0607
H  0.6746  0.4227  0.4393
H  0.8254  0.9227  0.9393
H  0.2903  0.5337  0.4722
H  0.2097  0.0337  0.9722
H  0.7097  0.4663  0.5278
H  0.7903  0.9663  0.0278
H  0.9451  0.5808  0.4269
H  0.5549  0.0808  0.9269
H  0.0549  0.4192  0.5731
H  0.4451  0.9192  0.0731
H  0.7464  0.6611  0.4844
H  0.7536  0.1611  0.9844
H  0.2536  0.3389  0.5156
H  0.2464  0.8389  0.0156
C  0.2126  0.5404  0.5201
C  0.2874  0.0404  0.0201
C  0.7874  0.4596  0.4799
C  0.7126  0.9596  0.9799
C  0.8735  0.5889  0.4759
C  0.6265  0.0889  0.9759
C  0.1265  0.4111  0.5241
C  0.3735  0.9111  0.0241
N  0.0369  0.6342  0.5276
N  0.4631  0.1342  0.0276
N  0.9631  0.3658  0.4724
N  0.5369  0.8658  0.9724
O  0.2231  0.3907  0.7024
O  0.2769  0.8907  0.2024
O  0.7769  0.6093  0.2976
O  0.7231  0.1093  0.7976
O  0.5339  0.3077  0.6085
O  0.9661  0.8077  0.1085
O  0.4661  0.6923  0.3915
O  0.0339  0.1923  0.8915
O  0.8314  0.3927  0.7059
O  0.6686  0.8927  0.2059
O  0.1686  0.6073  0.2941
O  0.3314  0.1073  0.7941
O  0.5145  0.4977  0.7944
O  0.9855  0.9977  0.2944
O  0.4855  0.5023  0.2056
O  0.0145  0.0023  0.7056
O  0.5307  0.2370  0.7292
O  0.9693  0.7370  0.2292
O  0.4693  0.7630  0.2708
O  0.0307  0.2630  0.7708
O  0.5308  0.5623  0.6808
O  0.9692  0.0623  0.1808
O  0.4692  0.4377  0.3192
O  0.0308  0.9377  0.8192
O  0.0370  0.5039  0.8076
O  0.4630  0.0039  0.3076
O  0.9630  0.4961  0.1924
O  0.5370  0.9961  0.6924
O  0.3386  0.5814  0.9051
O  0.1614  0.0814  0.4051
O  0.6614  0.4186  0.0949
O  0.8386  0.9186  0.5949
O  0.0233  0.6924  0.9901
O  0.4767  0.1924  0.4901
O  0.9767  0.3076  0.0099
O  0.5233  0.8076  0.5099
O  0.7267  0.6205  0.8940
O  0.7733  0.1205  0.3940
O  0.2733  0.3795  0.1060
O  0.2267  0.8795  0.6060
O  0.0719  0.7593  0.8724
O  0.4281  0.2593  0.3724
O  0.9281  0.2407  0.1276
O  0.5719  0.7407  0.6276
O  0.9819  0.4326  0.9226
O  0.5181  0.9326  0.4226
O  0.0181  0.5674  0.0774
O  0.4819  0.0674  0.5774
O  0.7073  0.7578  0.7443
O  0.7927  0.2578  0.2443
O  0.2927  0.2422  0.2557
O  0.2073  0.7422  0.7557
O  0.8973  0.6173  0.6409
O  0.6027  0.1173  0.1409
O  0.1027  0.3827  0.3591
O  0.3973  0.8827  0.8591
O  0.5962  0.3983  0.8886
O  0.9038  0.8983  0.3886
O  0.4038  0.6017  0.1114
O  0.0962  0.1017  0.6114
O  0.3173  0.3349  0.9604
O  0.1827  0.8349  0.4604
O  0.6827  0.6651  0.0396
O  0.8173  0.1651  0.5396

***

## BaYCd2 (GGA-PBEsol)

Data for a relaxed structure of BaYCd2.

Summary:
E above lowest polymorph   114.4 meV per atom
Space-group type   Fm-3m
Energy relative to the elements   -0.20 eV/atom

Unit cell a=5.5280 b=5.5280 c=5.5280 alpha=60.00 beta=60.00 gamma=60.00
Element x y z (fractional)
Y  0.0000  0.0000  0.0000
Ba  0.5000  0.5000  0.5000
Cd  0.2500  0.2500  0.2500
Cd  0.7500  0.7500  0.7500

***

## Li2PPt (GGA-PBEsol)

Data for a relaxed structure of Li2PPt.

Summary:
Space-group type   P4/mmm
Energy relative to the elements   -0.60 eV/atom

Unit cell a=3.5744 b=3.5744 c=3.9487 alpha=90.00 beta=90.00 gamma=90.00
Element x y z (fractional)
P  0.5000  0.5000  0.5000
Pt  0.0000  0.0000  0.5000
Li  0.0000  0.5000  0.0000
Li  0.5000  0.0000  0.0000

***

## TaBePb2 (GGA-PBEsol)

Data for a relaxed structure of TaBePb2.

Summary:
Space-group type   R3m
Energy relative to the elements   0.57 eV/atom

Unit cell a=3.1279 b=3.1279 c=10.4004 alpha=81.35 beta=81.35 gamma=60.00
Element x y z (fractional)
Pb  0.9818  0.9818  0.0545
Pb  0.7635  0.7635  0.7096
Be  0.2416  0.2416  0.2751
Ta  0.5131  0.5131  0.4608

***

## Cr2NiIr (GGA-PBEsol)

Data for a relaxed structure of Cr2NiIr.

Summary:
Space-group type   I4/mmm
Energy relative to the elements   -0.09 eV/atom

Unit cell a=3.5697 b=3.5697 c=4.4566 alpha=113.61 beta=113.61 gamma=90.00
Last column: magnetic moment on the atom in μB.
Element x y z (fractional)
Ni  0.0000  0.0000  0.0000  0.00
Ir  0.5000  0.5000  0.0000  0.00
Cr  0.2500  0.7500  0.5000  0.06
Cr  0.7500  0.2500  0.5000  0.06

***

## BaTe2Se (GGA-PBEsol)

Data for a relaxed structure of BaTe2Se.

Summary:
Formation energy (no corrections)   -834 meV per atom
Space-group type   Fmmm

Unit cell a=4.5736 b=4.5736 c=6.8853 alpha=109.06 beta=109.06 gamma=90.96
Element x y z (fractional)
Ba  0.0000  0.0000  0.0000
Se  0.5000  0.5000  0.0000
Te  0.5000  0.0000  0.5000
Te  0.0000  0.5000  0.5000